Record 1
## NaNd2PtO6 (PBE)

Data for a relaxed NaNd2PtO6 crystal.

a = 5.569 Å, b = 6.011 Å, c = 7.997 Å
α = 90.00°, β = 89.02°, γ = 90.00°
Fractional coordinates of all 20 atoms:
O 0.836 0.785 0.932
O 0.336 0.715 0.432
O 0.376 0.950 0.734
Nd 0.977 0.076 0.747
Nd 0.477 0.424 0.247
O 0.702 0.325 0.945
Na 0.000 0.500 0.500
Nd 0.523 0.576 0.753
Pt 0.000 0.500 0.000
O 0.164 0.215 0.068
O 0.664 0.285 0.568
Pt 0.500 0.000 0.500
O 0.624 0.050 0.266
O 0.798 0.825 0.555
Nd 0.023 0.924 0.253
O 0.876 0.550 0.234
Na 0.500 0.000 0.000
O 0.124 0.450 0.766
O 0.202 0.175 0.445
O 0.298 0.675 0.055

Summary:
Formation energy (no corrections) in eV/atom: -2.12
Calculated volume in Å³/atom: 13.38
Total energy in eV per cell: -135.71
Total magnetization in μB per atom: 0.0645

=====

Record 2
## NbBiF2 (PBE)

Data for a relaxed NbBiF2 crystal.

a = 4.484 Å, b = 4.484 Å, c = 4.484 Å
α = 60.00°, β = 60.00°, γ = 60.00°
Fractional coordinates of all 4 atoms:
Bi 0.500 0.500 0.500
F 0.250 0.250 0.250
Nb 0.000 0.000 0.000
F 0.750 0.750 0.750

Summary:
E above lowest polymorph in meV per atom: 682.5
Formation energy (no corrections) in eV/atom: -0.66
Calculated volume in Å³/atom: 15.93
Total energy in eV per cell: -20.33
Total magnetization in μB per atom: 0.0000

=====

Record 3
## LiZn2Au (PBE)

Data for a relaxed LiZn2Au crystal.

a = 4.405 Å, b = 4.405 Å, c = 4.405 Å
α = 60.00°, β = 60.00°, γ = 60.00°
Fractional coordinates of all 4 atoms:
Li 0.000 0.000 0.000
Au 0.500 0.500 0.500
Zn 0.750 0.750 0.750
Zn 0.250 0.250 0.250

Summary:
E above lowest polymorph in meV per atom: 1.2
Calculated volume in Å³/atom: 15.11
Total energy in eV per cell: -9.18
Energy relative to the elements in eV/atom: -0.361
Total magnetization in μB per atom: 0.0000

=====

Record 4
## LiAgPCl2 (PBE)

Data for a relaxed LiAgPCl2 crystal.

a = 5.326 Å, b = 5.326 Å, c = 4.814 Å
α = 90.00°, β = 90.00°, γ = 90.00°
Fractional coordinates of all 5 atoms:
Cl 0.500 0.000 0.000
Li 0.500 0.500 0.500
Cl 0.000 0.500 0.000
P 0.000 0.000 0.500
Ag 0.000 0.000 0.000

Summary:
E above lowest polymorph in meV per atom: 0.0
Formation energy (no corrections) in eV/atom: -0.05
Calculated volume in Å³/atom: 27.32
Total energy in eV per cell: -14.13
Total magnetization in μB per atom: 0.4210

=====

Record 5
## Pm4PrCd (PBE)

Data for a relaxed Pm4PrCd crystal.

a = 5.759 Å, b = 6.609 Å, c = 10.927 Å
α = 90.00°, β = 105.28°, γ = 90.00°
Fractional coordinates of all 12 atoms:
Cd 0.393 0.459 0.787
Pm 0.461 0.889 0.923
Pm 0.684 0.565 0.369
Pm 0.753 0.110 0.506
Pm 0.940 0.206 0.879
Pr 0.866 0.704 0.733
Cd 0.607 0.959 0.213
Pm 0.316 0.065 0.631
Pm 0.247 0.610 0.494
Pm 0.539 0.389 0.077
Pm 0.060 0.706 0.121
Pr 0.134 0.204 0.267

Summary:
E above lowest polymorph in meV per atom: 138.5
Calculated volume in Å³/atom: 33.43
Total energy in eV per cell: -48.89
Energy relative to the elements in eV/atom: 0.042
Total magnetization in μB per atom: 0.0000

=====

Record 6
## La4Co2N (PBE)

Data for a relaxed La4Co2N crystal.

a = 4.992 Å, b = 4.992 Å, c = 7.689 Å
α = 71.06°, β = 71.06°, γ = 90.00°
Fractional coordinates of all 7 atoms:
Co 0.365 0.365 0.270
La 0.195 0.195 0.610
Co 0.635 0.635 0.730
N 0.000 0.000 0.000
La 0.000 0.500 0.000
La 0.805 0.805 0.390
La 0.500 0.000 0.000

Summary:
Formation energy (no corrections) in eV/atom: -0.32
Calculated volume in Å³/atom: 24.32
Total energy in eV per cell: -44.46
Total magnetization in μB per atom: 0.0000